(1)
Compound: Nd5CuBi3
Source: Alexandria
Functional: SCAN
Structure: PBEsol geometry

Cell and atoms, written as CIF:
```
data_Nd5CuBi3
_chemical_formula_sum 'Nd10 Cu2 Bi6'
_cell_length_a 6.477
_cell_length_b 9.504
_cell_length_c 9.504
_cell_angle_alpha 120.00
_cell_angle_beta 90.00
_cell_angle_gamma 90.00
_space_group_name_H-M_alt 'P 1'
_space_group_IT_number 1
_space_group_name_Hall 'P 1'
loop_
_atom_site_label
_atom_site_type_symbol
_atom_site_fract_x
_atom_site_fract_y
_atom_site_fract_z
Nd1 Nd 0.500 0.667 0.333
Nd2 Nd 0.500 0.333 0.667
Nd3 Nd 0.000 0.333 0.667
Nd4 Nd 0.000 0.667 0.333
Nd5 Nd 0.750 0.257 0.257
Nd6 Nd 0.750 0.000 0.743
Nd7 Nd 0.750 0.743 0.000
Nd8 Nd 0.250 0.743 0.743
Nd9 Nd 0.250 0.000 0.257
Nd10 Nd 0.250 0.257 0.000
Cu1 Cu 0.500 0.000 0.000
Cu2 Cu 0.000 0.000 0.000
Bi1 Bi 0.750 0.616 0.616
Bi2 Bi 0.750 0.000 0.384
Bi3 Bi 0.750 0.384 0.000
Bi4 Bi 0.250 0.384 0.384
Bi5 Bi 0.250 0.000 0.616
Bi6 Bi 0.250 0.616 0.000
```

Values from the calculation:
- Density of states at the Fermi level: 16.95 states/eV per cell
- Calculated formation energy: -0.826 eV per atom
- Final energy: -52.920 eV/atom

(2)
Compound: Nd3Cu3Bi4
Source: Alexandria
Functional: SCAN
Structure: PBEsol geometry

Cell and atoms, written as CIF:
```
data_Nd3Cu3Bi4
_chemical_formula_sum 'Nd6 Cu6 Bi8'
_cell_length_a 8.513
_cell_length_b 8.513
_cell_length_c 8.513
_cell_angle_alpha 109.47
_cell_angle_beta 109.47
_cell_angle_gamma 109.47
_space_group_name_H-M_alt 'P 1'
_space_group_IT_number 1
_space_group_name_Hall 'P 1'
loop_
_atom_site_label
_atom_site_type_symbol
_atom_site_fract_x
_atom_site_fract_y
_atom_site_fract_z
Nd1 Nd 0.875 0.125 0.750
Nd2 Nd 0.625 0.375 0.250
Nd3 Nd 0.125 0.250 0.375
Nd4 Nd 0.375 0.750 0.125
Nd5 Nd 0.750 0.625 0.875
Nd6 Nd 0.250 0.875 0.625
Cu1 Cu 0.375 0.625 0.750
Cu2 Cu 0.125 0.875 0.250
Cu3 Cu 0.625 0.250 0.875
Cu4 Cu 0.875 0.750 0.625
Cu5 Cu 0.750 0.125 0.375
Cu6 Cu 0.250 0.375 0.125
Bi1 Bi 0.666 0.000 0.000
Bi2 Bi 0.834 0.834 0.334
Bi3 Bi 0.000 0.500 0.166
Bi4 Bi 0.166 0.000 0.000
Bi5 Bi 0.500 0.666 0.500
Bi6 Bi 0.334 0.334 0.834
Bi7 Bi 0.500 0.166 0.500
Bi8 Bi 0.000 0.500 0.666
```

Values from the calculation:
- Density of states at the Fermi level: 0.82 states/eV per cell
- Calculated formation energy: -0.695 eV per atom
- Final energy: -49.762 eV/atom

(3)
Compound: YCu2NiBi
Source: Alexandria
Functional: SCAN
Structure: PBEsol geometry

Cell and atoms, written as CIF:
```
data_YCu2NiBi
_chemical_formula_sum 'Y1 Cu2 Ni1 Bi1'
_cell_length_a 4.627
_cell_length_b 4.909
_cell_length_c 4.909
_cell_angle_alpha 90.00
_cell_angle_beta 90.00
_cell_angle_gamma 90.00
_space_group_name_H-M_alt 'P 1'
_space_group_IT_number 1
_space_group_name_Hall 'P 1'
loop_
_atom_site_label
_atom_site_type_symbol
_atom_site_fract_x
_atom_site_fract_y
_atom_site_fract_z
Y1 Y 0.000 0.000 0.000
Ni1 Ni 0.500 0.000 0.000
Bi1 Bi 0.500 0.500 0.500
Cu1 Cu 0.000 0.000 0.500
Cu2 Cu 0.000 0.500 0.000
```

Values from the calculation:
- Density of states at the Fermi level: 2.95 states/eV per cell
- Calculated formation energy: 1.181 eV per atom
- Final energy: -29.418 eV/atom

(4)
Compound: CuBiO2
Source: Alexandria
Functional: SCAN
Structure: PBEsol geometry

Cell and atoms, written as CIF:
```
data_CuBiO2
_chemical_formula_sum 'Cu2 Bi2 O4'
_cell_length_a 3.577
_cell_length_b 6.019
_cell_length_c 6.535
_cell_angle_alpha 116.85
_cell_angle_beta 90.00
_cell_angle_gamma 90.00
_space_group_name_H-M_alt 'P 1'
_space_group_IT_number 1
_space_group_name_Hall 'P 1'
loop_
_atom_site_label
_atom_site_type_symbol
_atom_site_fract_x
_atom_site_fract_y
_atom_site_fract_z
O1 O 0.250 0.370 0.807
O2 O 0.750 0.298 0.415
O3 O 0.250 0.702 0.585
O4 O 0.750 0.630 0.193
Bi1 Bi 0.250 0.414 0.226
Bi2 Bi 0.750 0.586 0.774
Cu1 Cu 0.250 0.032 0.663
Cu2 Cu 0.750 0.968 0.337
```

Values from the calculation:
- Final energy: -27.436 eV/atom

(5)
Compound: CuBiO2
Source: Alexandria
Functional: SCAN
Structure: PBEsol geometry

Cell and atoms, written as CIF:
```
data_CuBiO2
_chemical_formula_sum 'Cu2 Bi2 O4'
_cell_length_a 3.916
_cell_length_b 5.908
_cell_length_c 6.618
_cell_angle_alpha 116.51
_cell_angle_beta 107.21
_cell_angle_gamma 90.00
_space_group_name_H-M_alt 'P 1'
_space_group_IT_number 1
_space_group_name_Hall 'P 1'
loop_
_atom_site_label
_atom_site_type_symbol
_atom_site_fract_x
_atom_site_fract_y
_atom_site_fract_z
O1 O 0.839 0.086 0.678
O2 O 0.839 0.592 0.678
O3 O 0.161 0.408 0.322
O4 O 0.161 0.914 0.322
Bi1 Bi 0.692 0.192 0.384
Bi2 Bi 0.308 0.808 0.616
Cu1 Cu 0.000 0.279 0.000
Cu2 Cu 0.000 0.721 0.000
```

Values from the calculation:
- Final energy: -27.393 eV/atom

(6)
Compound: CuBiP2O8
Source: Alexandria
Functional: SCAN
Structure: PBEsol geometry

Cell and atoms, written as CIF:
```
data_CuBiP2O8
_chemical_formula_sum 'Cu2 Bi2 P4 O16'
_cell_length_a 5.247
_cell_length_b 6.112
_cell_length_c 10.566
_cell_angle_alpha 90.00
_cell_angle_beta 97.16
_cell_angle_gamma 90.00
_space_group_name_H-M_alt 'P 1'
_space_group_IT_number 1
_space_group_name_Hall 'P 1'
loop_
_atom_site_label
_atom_site_type_symbol
_atom_site_fract_x
_atom_site_fract_y
_atom_site_fract_z
Cu1 Cu 0.175 0.250 0.677
Cu2 Cu 0.825 0.750 0.323
Bi1 Bi 0.569 0.750 0.797
Bi2 Bi 0.431 0.250 0.203
P1 P 0.661 0.250 0.891
P2 P 0.059 0.750 0.597
P3 P 0.941 0.250 0.403
P4 P 0.339 0.750 0.109
O1 O 0.334 0.750 0.964
O2 O 0.370 0.250 0.836
O3 O 0.803 0.049 0.844
O4 O 0.803 0.451 0.844
O5 O 0.225 0.555 0.664
O6 O 0.225 0.945 0.664
O7 O 0.780 0.750 0.618
O8 O 0.910 0.250 0.546
O9 O 0.090 0.750 0.454
O10 O 0.220 0.250 0.382
O11 O 0.775 0.055 0.336
O12 O 0.775 0.445 0.336
O13 O 0.197 0.549 0.156
O14 O 0.197 0.951 0.156
O15 O 0.630 0.750 0.164
O16 O 0.666 0.250 0.036
```

Values from the calculation:
- Density of states at the Fermi level: 7.72 states/eV per cell
- Final energy: -15.478 eV/atom

Please write out number 4 again, unchanged.
Compound: CuBiO2
Source: Alexandria
Functional: SCAN
Structure: PBEsol geometry

Cell and atoms, written as CIF:
```
data_CuBiO2
_chemical_formula_sum 'Cu2 Bi2 O4'
_cell_length_a 3.577
_cell_length_b 6.019
_cell_length_c 6.535
_cell_angle_alpha 116.85
_cell_angle_beta 90.00
_cell_angle_gamma 90.00
_space_group_name_H-M_alt 'P 1'
_space_group_IT_number 1
_space_group_name_Hall 'P 1'
loop_
_atom_site_label
_atom_site_type_symbol
_atom_site_fract_x
_atom_site_fract_y
_atom_site_fract_z
O1 O 0.250 0.370 0.807
O2 O 0.750 0.298 0.415
O3 O 0.250 0.702 0.585
O4 O 0.750 0.630 0.193
Bi1 Bi 0.250 0.414 0.226
Bi2 Bi 0.750 0.586 0.774
Cu1 Cu 0.250 0.032 0.663
Cu2 Cu 0.750 0.968 0.337
```

Values from the calculation:
- Final energy: -27.436 eV/atom